Model P:
This record from Alexandria describes a geometry-optimized Nd2SmPd2 structure. The functional is PBE.

extended XYZ file:
```
10
Lattice="-3.0392 2.0549 1.6510 -3.6687 0.3208 -7.1527 -3.7851 -6.9090 1.6315" Properties=species:S:1:pos:R:3 pbc="T T T"
Nd -3.7073 -2.0811 -4.2343
Nd -1.2505 -1.1053 -0.9263
Nd -6.2032 -5.4829 -4.5949
Nd -3.7464 -4.5071 -1.2868
Sm -3.4121 -2.4271 1.6412
Sm -3.3539 1.1878 -2.7509
Pd -5.2898 -4.9594 1.3365
Pd -6.1972 -3.1070 -2.6393
Pd -5.2031 0.4261 -5.2068
Pd -4.2957 -1.4263 -1.2309
```

Model Q:
This record from Alexandria describes a geometry-optimized Nd2SmPd2 structure. The functional is PBE.

extended XYZ file:
```
5
Lattice="-3.2547 4.7027 -2.6048 1.6886 -3.3330 -5.0529 -1.7737 -2.8920 5.9106" Properties=species:S:1:pos:R:3 pbc="T T T"
Pd -1.1457 0.0935 -2.6203
Pd -2.1941 -1.6158 0.8731
Nd -3.1904 1.7106 -0.1206
Nd -0.1494 -3.2328 -1.6266
Sm 0.0000 0.0000 0.0000
```

The structure with the least stability is model Q.

Model P:
This record from Alexandria describes a geometry-optimized Nd2SmPd structure. The functional is PBE.

extended XYZ file:
```
4
Lattice="-2.9668 1.6838 -1.4351 0.5523 -1.7610 -3.2079 -4.9703 -6.4630 2.6921" Properties=species:S:1:pos:R:3 pbc="T T T"
Nd -3.9726 -5.1656 2.1517
Nd -0.9978 -1.2974 0.5404
Pd -1.2072 -0.0386 -2.3215
Sm -3.6924 -3.2701 -0.9754
```

Model Q:
This record from Alexandria describes a geometry-optimized Nd2SmPd structure. The functional is PBE.

extended XYZ file:
```
16
Lattice="6.5931 0.0000 0.0000 0.0000 7.2304 0.0000 0.0000 0.0000 10.1399" Properties=species:S:1:pos:R:3 pbc="T T T"
Sm 0.9428 7.0429 7.6049
Sm 5.6503 0.1875 2.5350
Sm 2.3538 3.4277 7.6049
Sm 4.2393 3.8026 2.5350
Pd 0.4427 2.7768 2.5350
Pd 6.1504 4.4536 7.6049
Pd 3.7392 0.8384 7.6049
Pd 2.8539 6.3919 2.5350
Nd 5.4767 2.3057 5.6801
Nd 2.1802 1.3095 0.6102
Nd 4.4129 5.9209 5.6801
Nd 2.1802 1.3095 4.4598
Nd 1.1163 4.9247 0.6102
Nd 4.4129 5.9209 9.5297
Nd 1.1163 4.9247 4.4598
Nd 5.4767 2.3057 9.5297
```

Model R:
This record from Alexandria describes a geometry-optimized Nd2SmPd structure. The functional is PBE.

extended XYZ file:
```
8
Lattice="-0.6255 -0.8048 3.7716 -1.7095 -5.1796 -3.4127 9.2301 -3.5551 0.7722" Properties=species:S:1:pos:R:3 pbc="T T T"
Nd 7.2015 -7.4093 -0.3865
Nd 3.1990 -3.4803 1.8108
Nd -0.3064 -2.1302 1.5176
Nd 3.6961 -6.0591 -0.6798
Pd 1.3693 -3.4788 -0.5158
Pd 5.5259 -6.0607 1.6468
Sm 0.2710 -6.0495 0.7764
Sm 6.6241 -3.4900 0.3547
```

The structure with the least stability is model P.

Model P:
This record from Alexandria describes a geometry-optimized NdSn4Pd4 structure. The functional is PBE.

extended XYZ file:
```
18
Lattice="6.5513 0.0000 0.0000 0.0000 6.5513 0.0000 0.0000 0.0000 9.0919" Properties=species:S:1:pos:R:3 pbc="T T T"
Pd 3.2757 1.4025 0.8762
Pd 1.8732 0.0000 5.4221
Pd 3.2757 5.1489 0.8762
Pd 5.1489 3.2757 8.2157
Pd 0.0000 4.6782 3.6698
Pd 1.4025 3.2757 8.2157
Pd 4.6782 0.0000 5.4221
Pd 0.0000 1.8732 3.6698
Sn 1.7652 0.0000 2.7728
Sn 4.7861 0.0000 2.7728
Sn 1.5105 3.2757 1.7732
Sn 0.0000 1.7652 6.3191
Sn 3.2757 1.5105 7.3187
Sn 5.0409 3.2757 1.7732
Sn 3.2757 5.0409 7.3187
Sn 0.0000 4.7861 6.3191
Nd 3.2757 3.2757 4.5459
Nd 0.0000 0.0000 0.0000
```

Model Q:
This record from Alexandria describes a geometry-optimized NdSn4Pd4 structure. The functional is PBE.

extended XYZ file:
```
18
Lattice="-3.3562 -3.2689 0.0639 5.3725 -5.6148 -5.0512 3.6006 -3.5449 7.7701" Properties=species:S:1:pos:R:3 pbc="T T T"
Pd 1.6702 -4.9660 5.7881
Pd 1.3826 -8.0621 3.4373
Pd 5.8960 -9.3451 3.0796
Pd 3.0813 -3.1369 1.6883
Pd -0.2728 -3.0774 -0.2969
Pd 5.8855 -6.0289 1.0307
Pd 3.9404 -7.4687 -3.0052
Pd 0.8844 -7.6293 -0.5907
Sn 5.1665 -8.6587 0.5237
Sn 3.2588 -9.9842 3.6505
Sn 2.9587 -2.9586 4.3741
Sn 2.1730 -5.6218 -2.0047
Sn 3.4503 -6.8005 4.7874
Sn 0.4440 -3.7761 2.2592
Sn -0.9918 -5.7071 -0.8039
Sn 6.0080 -6.2073 -1.6551
Nd 0.0000 0.0000 0.0000
Nd 2.8084 -6.2143 1.3914
```

The structure with the least stability is model Q.

Model P:
This record from Alexandria describes a geometry-optimized NdSn4Pd6 structure. The functional is PBE.

extended XYZ file:
```
11
Lattice="-3.3874 -1.5418 -1.9992 3.5040 -6.8292 -0.6705 -4.3388 1.5130 6.1848" Properties=species:S:1:pos:R:3 pbc="T T T"
Pd -4.4411 -0.9506 3.7942
Pd 1.5590 -3.5565 0.1012
Pd -3.0701 -3.6226 3.5318
Pd -0.1248 -2.9693 2.5014
Pd 1.2350 -5.6196 2.2412
Pd -2.7435 -1.5426 1.3743
Sn -1.5339 -5.3559 2.2656
Sn -1.1806 -3.1058 -0.0684
Sn 0.3026 -5.9963 -0.3522
Sn -1.7245 -1.2677 3.8997
Nd 0.0000 0.0000 0.0000
```

Model Q:
This record from Alexandria describes a geometry-optimized NdSn4Pd6 structure. The functional is PBE.

extended XYZ file:
```
11
Lattice="6.9134 -0.1206 -0.1773 -3.3034 6.0744 0.1773 -3.3034 -2.0684 5.7141" Properties=species:S:1:pos:R:3 pbc="T T T"
Pd -3.9729 1.1213 4.4183
Pd -3.9729 3.6966 2.6672
Pd 3.1378 0.8811 1.2958
Pd 1.8050 -1.0945 2.7684
Pd 1.8050 2.9769 0.0000
Pd -1.4921 2.1924 3.2243
Sn -2.1663 -0.3856 3.0872
Sn 0.9665 1.7862 2.6270
Sn -2.1663 3.0127 0.7765
Sn -2.9338 3.4780 5.1150
Nd 0.0000 0.0000 0.0000
```

The structure with the least stability is model Q.

Model P:
This record from Alexandria describes a geometry-optimized Nd2SnPd6 structure. The functional is PBE.

extended XYZ file:
```
9
Lattice="-3.6508 1.5611 1.3308 -1.1599 -6.8020 4.7971 5.0269 5.1635 1.1757" Properties=species:S:1:pos:R:3 pbc="T T T"
Pd 0.5523 -0.9004 2.5681
Pd -0.3361 0.8230 4.7356
Pd -0.0228 -4.2731 4.9467
Pd -2.7437 -4.6044 4.4632
Pd 0.2390 4.1956 2.3570
Pd -2.0670 -0.6365 1.6648
Nd 1.7390 1.7010 2.8323
Nd -1.5228 -1.7784 4.4714
Sn 0.0000 0.0000 0.0000
```

Model Q:
This record from Alexandria describes a geometry-optimized Nd2SnPd6 structure. The functional is PBE.

extended XYZ file:
```
9
Lattice="5.8357 0.0000 0.0000 -2.9179 4.8713 1.1128 0.0000 0.0865 6.3423" Properties=species:S:1:pos:R:3 pbc="T T T"
Sn 0.0000 0.0000 0.0000
Nd 2.9179 1.4085 1.3931
Nd 0.0000 3.5493 6.0620
Pd 2.9179 3.6878 5.1808
Pd 4.2937 1.3552 4.5814
Pd 1.5420 1.3552 4.5814
Pd -1.3758 3.6026 2.8737
Pd 1.3758 3.6026 2.8737
Pd 0.0000 1.2700 2.2743
```

The structure with the least stability is model P.

Model P:
This record from Alexandria describes a geometry-optimized Nd3Sn2Pd7 structure. The functional is PBE.

extended XYZ file:
```
12
Lattice="-1.2599 0.3770 3.8376 0.4721 -4.2185 0.5694 14.3682 4.5935 4.2659" Properties=species:S:1:pos:R:3 pbc="T T T"
Nd -0.3939 -1.9208 2.2035
Nd 5.5582 -0.8983 4.0571
Nd 8.0222 1.6503 4.6157
Pd 10.1252 -0.1702 5.4850
Pd 4.2092 -1.3937 1.5188
Pd 8.6332 -0.6837 2.9015
Pd 10.6312 1.7687 3.3165
Pd 6.2072 1.0587 1.9338
Pd 3.4552 0.9222 3.1879
Pd 0.0000 0.0000 0.0000
Sn 12.4049 -0.1037 4.0828
Sn 2.4354 0.4787 0.7525
```

Model Q:
This record from Alexandria describes a geometry-optimized Nd3Sn2Pd7 structure. The functional is PBE.

extended XYZ file:
```
12
Lattice="-0.1681 -0.5255 -4.1353 3.7013 -1.9227 0.0939 -8.5309 -11.7039 3.9384" Properties=species:S:1:pos:R:3 pbc="T T T"
Nd -0.6594 -5.8608 -1.3329
Nd 1.7666 -1.2241 -2.0207
Nd -4.3382 -8.2913 1.2299
Pd -2.9914 -5.7173 0.8481
Pd -2.0062 -8.4347 -0.9511
Pd 0.0000 0.0000 0.0000
Pd -5.8633 -11.3082 -0.4292
Pd 0.8657 -2.8438 0.3262
Pd -3.9286 -12.0068 1.6854
Pd -1.0690 -2.1453 -1.7884
Sn -1.7306 -3.3075 0.4906
Sn -3.2671 -10.8445 -0.5936
```

The structure with the least stability is model P.